Entry 1:
First-principles (SCAN) data for a PBEsol-optimized structure of LaP2Pt, as listed in Alexandria.

a b c (Å): 3.6578 3.6486 6.2845
angles (deg): 106.88 106.92 90.00
Closest atoms and distances in Å follow each position.
Positions (direct):
Pt (0.5409, 0.5409, 0.0818)  6 P 2.40-2.64
La (0.7903, 0.2903, 0.5805)  6 P 2.89-2.94
P (0.1768, 0.6768, 0.3537)  2 Pt 2.40
P (0.9920, 0.9920, 0.9840)  4 Pt 2.64, 2 P 2.80, 2 La 2.94

Output
D(E_F): 0.55 states/eV/atom
Calculated density: 8.6 g cm⁻³
Volume: 76.5 Å³ per cell
Energy of formation: -0.72 eV per atom
Electronic total energy: -1.2586 Ha/atom
Relative energy among the computed polymorphs: 0 meV/atom

=====

Entry 2:
First-principles (SCAN) data for a PBEsol-optimized structure of LaBi3Rh, as listed in Alexandria.

a b c (Å): 5.2773 5.2773 5.2773
angles (deg): 90.00 90.00 90.00
Closest atoms and distances in Å follow each position.
Positions (direct):
Bi (0.0000, 0.0000, 0.5000)  2 Rh 2.64
Rh (0.0000, 0.0000, 0.0000)  6 Bi 2.64
Bi (0.5000, 0.0000, 0.0000)  2 Rh 2.64
Bi (0.0000, 0.5000, 0.0000)  2 Rh 2.64
La (0.5000, 0.5000, 0.5000)  12 Bi 3.73

Output
D(E_F): 1.00 states/eV/atom
Calculated density: 9.8 g cm⁻³
Volume: 147.0 Å³ per cell
Energy of formation: -0.20 eV per atom
Electronic total energy: -2.3051 Ha/atom